Record 1
Compound: NdHoGeAu
Source: the Alexandria database
Functional: PBE-GGA
Structure: relaxed

Calculated values
M_tot, μB per cell: 0.00
ΔH_f (0 K), eV per atom: -0.813
E, eV for the cell shown: -20.5
Fermi-level density of states, states/eV/f.u.: 2.5
Calculated volume, Å³ per atom: 25.01

Cell lengths 4.102, 4.368, 5.948 Å; angles 90.00, 110.17, 90.00 degrees
Atoms (fractional coordinates):
Nd 0.857 0.500 0.715
Ho 0.135 0.000 0.270
Ge 0.587 0.500 0.175
Au 0.420 0.000 0.840

=====

Record 2
Compound: Ho2Ni3Ge4Au
Source: the Alexandria database
Functional: PBE-GGA
Structure: relaxed

Calculated values
M_tot, μB per cell: 0.00
ΔH_f (0 K), eV per atom: -0.629
E, eV for the cell shown: -54.5
Fermi-level density of states, states/eV/f.u.: 5.7
Calculated volume, Å³ per atom: 16.92

Cell lengths 4.141, 4.141, 9.868 Å; angles 90.00, 90.00, 90.00 degrees
Atoms (fractional coordinates):
Ho 0.500 0.000 0.243
Ho 0.000 0.500 0.757
Ni 0.000 0.000 0.500
Ni 0.500 0.000 0.882
Ni 0.000 0.500 0.118
Ge 0.500 0.500 0.000
Ge 0.000 0.000 0.000
Ge 0.500 0.000 0.649
Ge 0.000 0.500 0.351
Au 0.500 0.500 0.500